1.
DFT (GGA-PBE) results for an optimized crystal structure of Nb2InSe4.

Values from the calculation:
As for the raw formation energy: -0.513 eV/atom. As for the space group: Cmcm. Its density of states at the Fermi level is 0.6728 states/eV per atom. The magnetization comes out at 0.6 μB/f.u. The excess energy over the best structure of this formula in the dataset comes out at 0.1755 eV per atom.

Cell lengths 3.898, 6.596, 13.188 Å; angles 90.00, 90.00, 107.19 degrees
Each line ends with the local moment (μB).
Atoms (fractional coordinates):
Nb (0.115, 0.230, 0.437)  0.25
Nb (0.885, 0.770, 0.937)  0.25
Nb (0.115, 0.230, 0.063)  0.25
Nb (0.885, 0.770, 0.563)  0.25
In (0.627, 0.253, 0.750)  0.00
In (0.373, 0.747, 0.250)  0.00
Se (0.764, 0.529, 0.103)  0.00
Se (0.764, 0.529, 0.397)  0.00
Se (0.236, 0.471, 0.897)  0.00
Se (0.236, 0.471, 0.603)  0.00
Se (0.935, 0.870, 0.750)  -0.01
Se (0.065, 0.130, 0.250)  -0.01
Se (0.500, 0.000, 0.000)  -0.01
Se (0.500, 0.000, 0.500)  -0.01



2.
DFT (GGA-PBE) results for an optimized crystal structure of TbTi2Rh3.

Values from the calculation:
As for the space group: P4/mmm. The value obtained for the formation energy is -0.761 eV/atom. Its density of states at the Fermi level is 1.0974 states/eV per atom. The magnetization comes out at 0.0 μB/f.u.

Cell lengths 3.121, 3.121, 10.326 Å; angles 90.00, 90.00, 90.00 degrees
Atoms (fractional coordinates):
Tb (0.500, 0.500, 0.500)
Ti (0.500, 0.500, 0.845)
Ti (0.500, 0.500, 0.155)
Rh (0.000, 0.000, 0.000)
Rh (0.000, 0.000, 0.709)
Rh (0.000, 0.000, 0.291)



3.
DFT (GGA-PBE) results for an optimized crystal structure of Rb2SiH5Se.

Values from the calculation:
As for the space group: I4mm. Its density of states at the Fermi level is 0.1750 states/eV per atom. The magnetization comes out at 0.0 μB/f.u.

Cell lengths 5.998, 5.998, 5.998 Å; angles 89.20, 120.46, 120.46 degrees
Atoms (fractional coordinates):
Rb (0.500, 0.296, 0.796)
Rb (0.500, 0.796, 0.296)
Si (0.000, 0.047, 0.047)
H (0.373, 0.204, 0.204)
H (0.627, 0.831, 0.831)
H (0.000, 0.831, 0.204)
H (0.000, 0.204, 0.831)
H (0.000, 0.224, 0.224)
Se (0.000, 0.568, 0.568)



4.
DFT (GGA-PBE) results for an optimized crystal structure of RbBa4Nb3O12.

Values from the calculation:
As for the raw formation energy: -2.553 eV/atom. As for the space group: Im-3m. Its density of states at the Fermi level is 0.0000 states/eV per atom. The magnetization comes out at 0.0 μB/f.u.

Cell lengths 7.491, 7.491, 7.491 Å; angles 109.47, 109.47, 109.47 degrees
Atoms (fractional coordinates):
Rb (0.000, 0.000, 0.000)
Ba (0.500, 0.500, 0.500)
Ba (0.000, 0.000, 0.500)
Ba (0.500, 0.000, 0.000)
Ba (0.000, 0.500, 0.000)
Nb (0.500, 0.000, 0.500)
Nb (0.500, 0.500, 0.000)
Nb (0.000, 0.500, 0.500)
O (0.250, 0.500, 0.750)
O (0.718, 0.000, 0.718)
O (0.282, 0.000, 0.282)
O (0.750, 0.500, 0.250)
O (0.718, 0.718, 0.000)
O (0.282, 0.282, 0.000)
O (0.750, 0.250, 0.500)
O (0.250, 0.750, 0.500)
O (0.500, 0.250, 0.750)
O (0.000, 0.718, 0.718)
O (0.500, 0.750, 0.250)
O (0.000, 0.282, 0.282)



5.
DFT (GGA-PBE) results for an optimized crystal structure of BiPS4F2.

Values from the calculation:
As for the raw formation energy: -0.177 eV/atom. As for the space group: C2/c. Its density of states at the Fermi level is 0.3567 states/eV per atom. The magnetization comes out at 0.0 μB/f.u.

Cell lengths 7.395, 7.395, 7.913 Å; angles 117.08, 117.08, 101.67 degrees
Atoms (fractional coordinates):
Bi (0.000, 0.500, 0.000)
Bi (0.000, 0.500, 0.500)
P (0.500, 0.500, 0.500)
P (0.000, 0.000, 0.000)
S (0.240, 0.832, 0.005)
S (0.668, 0.260, 0.495)
S (0.332, 0.740, 0.505)
S (0.760, 0.168, 0.995)
S (0.731, 0.724, 0.943)
S (0.776, 0.769, 0.557)
S (0.224, 0.231, 0.443)
S (0.269, 0.276, 0.057)
F (0.500, 0.000, 0.000)
F (0.500, 0.000, 0.500)
F (0.000, 0.000, 0.500)
F (0.500, 0.500, 0.000)



6.
DFT (GGA-PBE) results for an optimized crystal structure of MnBe2Te.

Values from the calculation:
As for the raw formation energy: 0.468 eV/atom. As for the space group: Pmmm. Its density of states at the Fermi level is 0.4846 states/eV per atom. The magnetization comes out at 2.5 μB/f.u.

Cell lengths 3.636, 4.260, 3.514 Å; angles 90.00, 90.00, 90.00 degrees
Each line ends with the local moment (μB).
Atoms (fractional coordinates):
Be (0.000, 0.000, 0.000)  -0.08
Be (0.500, 0.500, 0.000)  -0.07
Te (0.000, 0.500, 0.500)  0.02
Mn (0.500, 0.000, 0.500)  2.66



7.
DFT (GGA-PBE) results for an optimized crystal structure of TbHgPt.

Values from the calculation:
As for the space group: P6_3/mmc. The value obtained for the formation energy is -0.832 eV/atom. Its density of states at the Fermi level is 0.4321 states/eV per atom. The magnetization comes out at 0.0 μB/f.u.

Cell lengths 5.041, 5.041, 5.979 Å; angles 90.00, 90.00, 119.97 degrees
Atoms (fractional coordinates):
Tb (0.667, 0.833, 0.750)
Tb (0.333, 0.167, 0.250)
Hg (0.000, 0.500, 0.000)
Hg (0.000, 0.500, 0.500)
Pt (0.333, 0.167, 0.750)
Pt (0.667, 0.833, 0.250)



8.
DFT (GGA-PBE) results for an optimized crystal structure of Rb2NaGa3Au4.

Values from the calculation:
As for the space group: P-4m2. The value obtained for the formation energy is -0.270 eV/atom. Its density of states at the Fermi level is 0.4118 states/eV per atom. The magnetization comes out at 0.0 μB/f.u.

Cell lengths 4.803, 4.803, 10.918 Å; angles 90.00, 90.00, 90.00 degrees
Atoms (fractional coordinates):
Rb (0.500, 0.000, 0.244)
Rb (0.000, 0.500, 0.756)
Na (0.500, 0.500, 0.500)
Ga (0.000, 0.000, 0.500)
Ga (0.500, 0.000, 0.892)
Ga (0.000, 0.500, 0.108)
Au (0.500, 0.500, 0.000)
Au (0.000, 0.000, 0.000)
Au (0.500, 0.000, 0.644)
Au (0.000, 0.500, 0.356)



9.
DFT (GGA-PBE) results for an optimized crystal structure of LaP2PdCl.

Values from the calculation:
As for the raw formation energy: -0.537 eV/atom. As for the space group: P4/mmm. Its density of states at the Fermi level is 0.4580 states/eV per atom. The magnetization comes out at 0.0 μB/f.u. The excess energy over the best structure of this formula in the dataset comes out at 0.0000 eV per atom.

Cell lengths 4.701, 4.701, 4.930 Å; angles 90.00, 90.00, 90.00 degrees
Atoms (fractional coordinates):
P (0.000, 0.500, 0.000)
P (0.500, 0.000, 0.000)
Cl (0.000, 0.000, 0.500)
Pd (0.000, 0.000, 0.000)
La (0.500, 0.500, 0.500)



10.
DFT (GGA-PBE) results for an optimized crystal structure of KUMn2Se4.

Values from the calculation:
As for the raw formation energy: -0.585 eV/atom. As for the space group: I222. Its density of states at the Fermi level is 1.1943 states/eV per atom. The magnetization comes out at 6.6 μB/f.u.

Cell lengths 6.917, 6.491, 6.491 Å; angles 68.10, 57.81, 57.81 degrees
Each line ends with the local moment (μB).
Atoms (fractional coordinates):
K (0.000, 0.000, 0.000)  0.00
U (0.500, 0.500, 0.500)  -2.26
Mn (0.191, 0.309, 0.309)  4.00
Mn (0.809, 0.691, 0.691)  4.00
Se (0.474, 0.073, 0.528)  0.06
Se (0.075, 0.927, 0.472)  0.06
Se (0.925, 0.528, 0.073)  0.06
Se (0.526, 0.472, 0.927)  0.06



11.
DFT (GGA-PBE) results for an optimized crystal structure of ZrIn2Tc.

Values from the calculation:
As for the space group: Pmmm. The value obtained for the formation energy is 0.082 eV/atom. Its density of states at the Fermi level is 0.7247 states/eV per atom. The magnetization comes out at 1.0 μB/f.u. The excess energy over the best structure of this formula in the dataset comes out at 0.1394 eV per atom.

Cell lengths 3.070, 4.337, 5.956 Å; angles 90.00, 90.00, 90.00 degrees
Each line ends with the local moment (μB).
Atoms (fractional coordinates):
In (0.000, 0.000, 0.014)  -0.01
In (0.000, 0.000, 0.486)  -0.01
Tc (0.500, 0.500, 0.250)  0.93
Zr (0.500, 0.500, 0.750)  -0.03



12.
DFT (GGA-PBE) results for an optimized crystal structure of CaReMo2C.

Values from the calculation:
As for the space group: P4/mmm. The value obtained for the formation energy is 2.480 eV/atom. Its density of states at the Fermi level is 0.9642 states/eV per atom. The magnetization comes out at 0.0 μB/f.u.

Cell lengths 4.674, 5.578, 4.674 Å; angles 90.00, 90.00, 90.00 degrees
Atoms (fractional coordinates):
C (0.500, 0.500, 0.500)
Re (0.000, 0.000, 0.000)
Mo (0.000, 0.000, 0.500)
Mo (0.500, 0.000, 0.000)
Ca (0.000, 0.500, 0.000)



Going through the records in order, we get DFT total energy values of -5.773 -7.840 -3.254 -7.471 -3.870 -4.473 -4.490 -2.814 -5.095 -6.167 -6.016 -6.587 eV/atom.